[1]
Density functional theory data (GGA-PBE) for crystalline ErGePd3 at its relaxed geometry.

## Properties
The value obtained for the energy of formation is -3.59 eV per formula unit. As for the space group: No. 62. Its density of states at the Fermi level is 9.6 states/eV per cell. For the total magnetization, the calculation gives 0.000 μB per atom.

Lattice parameters (Å, degrees): 8.9582 4.0921 9.7931 90.00 90.00 90.00
Closest atoms and distances in Å follow each position.
Element x y z (fractional)
Er 0.1057 0.2500 0.1212  7 Pd 2.90-3.23, 2 Ge 3.05
Er 0.3943 0.7500 0.6212  7 Pd 2.90-3.23, 2 Ge 3.05
Er 0.6057 0.2500 0.3788  7 Pd 2.90-3.23, 2 Ge 3.05
Er 0.8943 0.7500 0.8788  7 Pd 2.90-3.23, 2 Ge 3.05
Ge 0.0979 0.7500 0.3516  7 Pd 2.45-2.68
Ge 0.4021 0.2500 0.8516  7 Pd 2.45-2.68
Ge 0.5979 0.7500 0.1484  7 Pd 2.45-2.68
Ge 0.9021 0.2500 0.6484  7 Pd 2.45-2.68
Pd 0.0694 0.7500 0.6003  3 Ge 2.45-2.58
Pd 0.1325 0.2500 0.7926  2 Ge 2.48-2.50
Pd 0.2478 0.7500 0.9568  2 Ge 2.68, 5 Pd 2.80-2.97, 2 Er 2.90
Pd 0.2522 0.2500 0.4568  2 Ge 2.68, 5 Pd 2.80-2.97, 2 Er 2.90
Pd 0.3675 0.7500 0.2926  2 Ge 2.48-2.50
Pd 0.4306 0.2500 0.1003  3 Ge 2.45-2.58
Pd 0.5694 0.7500 0.8997  3 Ge 2.45-2.58
Pd 0.6325 0.2500 0.7074  2 Ge 2.48-2.50
Pd 0.7478 0.7500 0.5432  2 Ge 2.68, 5 Pd 2.80-2.97, 2 Er 2.90
Pd 0.7522 0.2500 0.0432  2 Ge 2.68, 5 Pd 2.80-2.97, 2 Er 2.90
Pd 0.8675 0.7500 0.2074  2 Ge 2.48-2.50
Pd 0.9306 0.2500 0.3997  3 Ge 2.45-2.58

---

[2]
Density functional theory data (GGA-PBE) for crystalline Er2Ge3Pd8 at its relaxed geometry.

## Properties
The value obtained for the energy of formation is -7.97 eV per formula unit. As for the space group: No. 12. Its density of states at the Fermi level is 6.8 states/eV per cell. For the total magnetization, the calculation gives 0.000 μB per atom.

Lattice parameters (Å, degrees): 7.0252 7.0252 7.8824 121.98 121.98 46.49
Closest atoms and distances in Å follow each position.
Element x y z (fractional)
Er 0.1350 0.1350 0.2539  8 Pd 2.76-3.09
Er 0.8650 0.8650 0.7461  8 Pd 2.76-3.09
Ge 0.2424 0.7576 0.5000  6 Pd 2.51-2.64, 1 Ge 2.69
Ge 0.5000 0.5000 0.0000  6 Pd 2.49-2.59
Ge 0.7576 0.2424 0.5000  6 Pd 2.51-2.64, 1 Ge 2.69
Pd 0.1275 0.6324 0.0926  2 Ge 2.49-2.64, 2 Pd 2.75-2.78
Pd 0.2093 0.2093 0.6998  2 Ge 2.59, 3 Pd 2.77-2.84
Pd 0.3676 0.8725 0.9074  2 Ge 2.49-2.64, 2 Pd 2.75-2.78
Pd 0.3829 0.3829 0.6003  3 Ge 2.51-2.59, 1 Er 2.76, 1 Pd 2.77
Pd 0.6171 0.6171 0.3997  3 Ge 2.51-2.59, 1 Er 2.76, 1 Pd 2.77
Pd 0.6324 0.1275 0.0926  2 Ge 2.49-2.64, 2 Pd 2.75-2.78
Pd 0.7907 0.7907 0.3002  2 Ge 2.59, 3 Pd 2.77-2.84
Pd 0.8725 0.3676 0.9074  2 Ge 2.49-2.64, 2 Pd 2.75-2.78